! SmEuAgSn (GGA-PBE, relaxed); values from VASP
&SYSTEM
  ibrav = 0, nat = 4, ntyp = 4
/
ATOMIC_SPECIES
Sm 150.36 Sm.upf
Eu 151.96 Eu.upf
Ag 107.87 Ag.upf
Sn 118.71 Sn.upf
ATOMIC_POSITIONS crystal
Sm 0.000 0.000 0.000
Eu 0.500 0.500 0.500
Ag 0.250 0.250 0.250
Sn 0.750 0.750 0.750
CELL_PARAMETERS angstrom
0.000 3.821 3.821
3.821 0.000 3.821
3.821 3.821 0.000
! - Space group: No. 216
! - Density of states at the Fermi level: 2.596 states/eV per atom
! - Calculated formation energy: -0.53 eV per atom

---

! RePbS2 (GGA-PBE, relaxed); values from VASP
&SYSTEM
  ibrav = 0, nat = 8, ntyp = 3
/
ATOMIC_SPECIES
Re 186.21 Re.upf
Pb 207.20 Pb.upf
S 32.06 S.upf
ATOMIC_POSITIONS crystal
Re 0.000 0.000 0.000
Re 0.750 0.250 0.500
Pb 0.250 0.750 0.500
Pb 0.500 0.500 0.000
S 0.036 0.625 0.911
S 0.375 0.286 0.411
S 0.714 0.125 0.089
S 0.875 0.964 0.589
CELL_PARAMETERS angstrom
-3.153 3.153 5.021
3.153 -3.153 5.021
3.153 3.153 -5.021
! - Uncorrected formation energy: 0.083 eV per atom
! - Space group: No. 122
! - Density of states at the Fermi level: 0.832 states/eV per atom

---

! LaTm2O (GGA-PBE, relaxed); values from VASP
&SYSTEM
  ibrav = 0, nat = 4, ntyp = 3
/
ATOMIC_SPECIES
La 138.91 La.upf
Tm 168.93 Tm.upf
O 16.00 O.upf
ATOMIC_POSITIONS crystal
La 0.000 0.000 0.000
Tm 0.120 0.120 0.120
Tm 0.880 0.880 0.880
O 0.500 0.500 0.500
CELL_PARAMETERS angstrom
1.708 0.986 9.425
-1.708 0.986 9.425
0.000 -1.972 9.425
! - Uncorrected formation energy: -1.239 eV per atom
! - Energy relative to the lowest polymorph listed for this composition: 0.00 eV/f.u.
! - Space group: No. 166
! - Density of states at the Fermi level: 0.933 states/eV per atom

---

! SrMg2Sb2 (GGA-PBE, relaxed); values from VASP
&SYSTEM
  ibrav = 0, nat = 10, ntyp = 3
/
ATOMIC_SPECIES
Sr 87.62 Sr.upf
Mg 24.30 Mg.upf
Sb 121.76 Sb.upf
ATOMIC_POSITIONS crystal
Sr 0.000 0.000 0.000
Sr 0.500 0.500 0.000
Mg 0.132 0.368 0.500
Mg 0.368 0.868 0.500
Mg 0.632 0.132 0.500
Mg 0.868 0.632 0.500
Sb 0.160 0.660 0.000
Sb 0.340 0.160 0.000
Sb 0.660 0.840 0.000
Sb 0.840 0.340 0.000
CELL_PARAMETERS angstrom
8.702 0.000 0.000
0.000 8.702 0.000
0.000 0.000 3.747
! - Uncorrected formation energy: -0.388 eV per atom
! - Energy relative to the lowest polymorph listed for this composition: 1.86 eV/f.u.
! - Space group: No. 127
! - Density of states at the Fermi level: 0.331 states/eV per atom

---

Which formula does entry 3 have? LaTm2O